The following is a PBE calculation of a geometry-optimized AlReAg structure, from the Alexandria database.

Cell lengths 4.844, 4.844, 5.782 Å; angles 118.98, 118.98, 57.01 degrees
Element x y z (fractional)
Al: 0.000 0.000 0.000
Al: 0.844 0.156 0.500
Re: 0.150 0.465 0.479
Re: 0.535 0.850 0.521
Ag: 0.330 0.353 0.017
Ag: 0.647 0.670 0.983

Computed properties:
N(E_F) in states/eV/cell: 2.366
Formation energy from the elements in kJ per mole of atoms: 10.9
ΔE to the lowest computed polymorph in meV per atom: 259.5

The following is a PBE calculation of a geometry-optimized Al2ReAg structure, from the Alexandria database.

Cell lengths 4.403, 4.403, 4.403 Å; angles 60.00, 60.00, 60.00 degrees
Element x y z (fractional)
Al: 0.250 0.250 0.250
Al: 0.750 0.750 0.750
Re: 0.000 0.000 0.000
Ag: 0.500 0.500 0.500

Computed properties:
N(E_F) in states/eV/cell: 1.518
Formation energy from the elements in kJ per mole of atoms: 3.0
ΔE to the lowest computed polymorph in meV per atom: 120.9

The following is a PBE calculation of a geometry-optimized Al4ReAg structure, from the Alexandria database.

Cell lengths 5.077, 5.077, 5.077 Å; angles 60.00, 60.00, 60.00 degrees
Element x y z (fractional)
Al: 0.125 0.125 0.125
Al: 0.125 0.125 0.624
Al: 0.125 0.624 0.125
Al: 0.624 0.125 0.125
Re: 0.750 0.750 0.750
Ag: 0.500 0.500 0.500

Computed properties:
N(E_F) in states/eV/cell: 0.552
Formation energy from the elements in kJ per mole of atoms: 17.7

> Look up the formation energy from the elements of the second one.

3.0 kJ per mole of atoms

> Among the records above, which one has the highest formation energy from the elements?

Al4ReAg